Entry from Alexandria via LeMat-Bulk: a relaxed structure of MgPPd5 (PBEsol).

abc: 3.8842 3.8842 6.8609
angles: 90.00 90.00 90.00
Positions (direct):
P1 0.5000 0.5000 0.5000
Mg1 0.0000 0.0000 0.0000
Pd1 0.5000 0.5000 0.0000
Pd2 0.5000 0.0000 0.7036
Pd3 0.0000 0.5000 0.7036
Pd4 0.5000 0.0000 0.2964
Pd5 0.0000 0.5000 0.2964

Results
* crystal system: tetragonal
* total magnetic moment: 0.000 μB per atom
* formation energy: -615 meV per atom
* DOS(E_F): 0.40 states/eV per atom